# 1
## KPtF4 (GGA-PBE)

Data for a relaxed structure of KPtF4.

Lattice parameters (Å, degrees): 6.534 6.534 6.261 90.00 90.00 90.00
Element x y z (fractional)
K1 0.000 0.000 0.000
K2 0.500 0.500 0.500
Pt1 0.000 0.500 0.750
Pt2 0.500 0.000 0.250
F1 0.210 0.290 0.750
F2 0.210 0.710 0.750
F3 0.290 0.210 0.250
F4 0.290 0.790 0.250
F5 0.710 0.210 0.250
F6 0.710 0.790 0.250
F7 0.790 0.290 0.750
F8 0.790 0.710 0.750

Summary:
* ΔE_f (raw): -1.745 eV per atom
* volume: 22.3 Å³/atom
* magnetic moment: 1.0 μB/f.u.


# 2
## KPtF (GGA-PBE)

Data for a relaxed structure of KPtF.

Lattice parameters (Å, degrees): 9.353 4.680 5.353 90.00 90.00 90.00
Element x y z (fractional)
K1 0.250 0.250 0.249
K2 0.250 0.750 0.749
K3 0.750 0.250 0.251
K4 0.750 0.750 0.751
Pt1 0.000 0.250 0.639
Pt2 0.000 0.750 0.361
Pt3 0.500 0.250 0.861
Pt4 0.500 0.750 0.139
F1 0.000 0.000 0.000
F2 0.000 0.500 0.000
F3 0.500 0.000 0.500
F4 0.500 0.500 0.500

Summary:
* ΔE_f (raw): -0.820 eV per atom
* volume: 19.5 Å³/atom
* energy relative to the lowest polymorph listed for this composition: 585 meV per atom
* magnetic moment: 0.0 μB/f.u.


# 3
## KPtF (GGA-PBE)

Data for a relaxed structure of KPtF.

Lattice parameters (Å, degrees): 2.993 3.076 12.935 90.00 95.65 90.00
Element x y z (fractional)
K1 0.000 0.000 0.000
K2 0.177 0.000 0.440
Pt1 0.596 0.500 0.245
Pt2 0.785 0.500 0.651
F1 0.465 0.500 0.917
F2 0.913 0.000 0.755

Summary:
* ΔE_f (raw): -0.522 eV per atom
* volume: 19.8 Å³/atom
* energy relative to the lowest polymorph listed for this composition: 883 meV per atom
* magnetic moment: 0.1 μB/f.u.